# 1
Here is a relaxed YZn2Si crystal from Alexandria via LeMat-Bulk. Energies are from PBE-GGA.

```
data_YZn2Si
_cell_length_a 3.4701
_cell_length_b 3.4701
_cell_length_c 6.2727
_cell_angle_alpha 90.00
_cell_angle_beta 90.00
_cell_angle_gamma 90.00
_symmetry_space_group_name_H-M 'P 4/m m m'
_symmetry_Int_Tables_number 123
_symmetry_space_group_name_Hall '-P 4 2'
loop_
_atom_site_label
_atom_site_type_symbol
_atom_site_fract_x
_atom_site_fract_y
_atom_site_fract_z
Y1 Y 0.0000 0.0000 0.0000
Zn1 Zn 0.5000 0.5000 0.2962
Si1 Si 0.0000 0.0000 0.5000
```

Output
E	-0.27202	Ry/atom
formation energy without anion corrections	-0.092	eV per atom

# 2
Here is a relaxed TlZn2Os crystal from Alexandria via LeMat-Bulk. Energies are from PBE-GGA.

```
data_TlZn2Os
_cell_length_a 6.4569
_cell_length_b 6.4569
_cell_length_c 6.4569
_cell_angle_alpha 90.00
_cell_angle_beta 90.00
_cell_angle_gamma 90.00
_symmetry_space_group_name_H-M 'F -4 3 m'
_symmetry_Int_Tables_number 216
_symmetry_space_group_name_Hall 'F -4 2 3'
loop_
_atom_site_label
_atom_site_type_symbol
_atom_site_fract_x
_atom_site_fract_y
_atom_site_fract_z
Tl1 Tl 0.0000 0.0000 0.0000
Zn1 Zn 0.0000 0.0000 0.5000
Zn2 Zn 0.2500 0.2500 0.7500
Os1 Os 0.2500 0.2500 0.2500
```

Output
energy above the most stable polymorph in this dataset	296	meV/atom
energy of formation	0.666	eV per atom
E	-0.24766	Ry/atom

# 3
Here is a relaxed LaCr3Pd crystal from Alexandria via LeMat-Bulk. Energies are from PBE-GGA.

```
data_LaCr3Pd
_cell_length_a 4.9037
_cell_length_b 4.9037
_cell_length_c 4.9037
_cell_angle_alpha 90.00
_cell_angle_beta 90.00
_cell_angle_gamma 90.00
_symmetry_space_group_name_H-M 'P m -3 m'
_symmetry_Int_Tables_number 221
_symmetry_space_group_name_Hall '-P 4 2 3'
loop_
_atom_site_label
_atom_site_type_symbol
_atom_site_fract_x
_atom_site_fract_y
_atom_site_fract_z
La1 La 0.0000 0.0000 0.0000
Cr1 Cr 0.0000 0.5000 0.5000
Pd1 Pd 0.5000 0.5000 0.5000
```

Output
energy above the most stable polymorph in this dataset	0	meV/atom
energy of formation	0.826	eV per atom
E	-0.51246	Ry/atom

> The lowest E belongs to which entry?

LaCr3Pd

> The lowest E belongs to which entry?

LaCr3Pd

> The lowest E belongs to which entry?

LaCr3Pd

> Which of these has the highest E?

TlZn2Os